Ac2Pr2O5 | GGA-PBE | optimized geometry

Size of the total moment (μB per cell): 1.1
Distance to the lowest polymorph of the same formula (meV/atom): 0
Crystal system: tetragonal

abc: 4.5742 4.5742 8.2665
angles: 90.00 90.00 90.00
Closest atoms and distances in Å follow each position.
Fractional positions:
Ac (0.0000, 0.0000, 0.0000)  8 O 3.13
Ac (0.0000, 0.0000, 0.5000)  12 O 3.04-3.23
Pr (0.5000, 0.5000, 0.2306)  5 O 2.23-2.30
Pr (0.5000, 0.5000, 0.7694)  5 O 2.23-2.30
O (0.0000, 0.5000, 0.2578)  2 Pr 2.30
O (0.0000, 0.5000, 0.7422)  2 Pr 2.30
O (0.5000, 0.0000, 0.2578)  2 Pr 2.30
O (0.5000, 0.0000, 0.7422)  2 Pr 2.30
O (0.5000, 0.5000, 0.5000)  2 Pr 2.23